Entry 1:
# Al2FeCl PBE optimized geometry
# Energy above the most stable polymorph in this dataset (meV per atom): 496
# Density of states at the Fermi level (states/eV/atom): 0.472
# Size of the total moment (μB/cell): 2.7
# Formation energy from raw total energies (eV/f.u.): 1.07
data_Al2FeCl
_chemical_formula_sum 'Al2 Fe1 Cl1'
_cell_length_a 4.934
_cell_length_b 2.882
_cell_length_c 4.647
_cell_angle_alpha 89.42
_cell_angle_beta 90.00
_cell_angle_gamma 90.00
_symmetry_space_group_name_H-M 'P 1'
_symmetry_Int_Tables_number 1
_symmetry_space_group_name_Hall 'P 1'
loop_
_atom_site_label
_atom_site_type_symbol
_atom_site_fract_x
_atom_site_fract_y
_atom_site_fract_z
_atom_site_occupancy
Al1 Al 0.000 0.005 0.993 1
Al2 Al 0.000 0.495 0.507 1
Fe1 Fe 0.500 0.750 0.750 1
Cl1 Cl 0.500 0.250 0.250 1



Entry 2:
# Al2FeCl PBE optimized geometry
# Energy above the most stable polymorph in this dataset (meV per atom): 570
# Density of states at the Fermi level (states/eV/atom): 0.687
# Size of the total moment (μB/cell): 2.7
# Formation energy from raw total energies (eV/f.u.): 1.37
data_Al2FeCl
_chemical_formula_sum 'Al2 Fe1 Cl1'
_cell_length_a 5.107
_cell_length_b 5.107
_cell_length_c 5.107
_cell_angle_alpha 134.26
_cell_angle_beta 134.26
_cell_angle_gamma 66.69
_symmetry_space_group_name_H-M 'P 1'
_symmetry_Int_Tables_number 1
_symmetry_space_group_name_Hall 'P 1'
loop_
_atom_site_label
_atom_site_type_symbol
_atom_site_fract_x
_atom_site_fract_y
_atom_site_fract_z
_atom_site_occupancy
Fe1 Fe 0.750 0.250 0.500 1
Al1 Al 0.500 0.500 0.000 1
Al2 Al 0.000 0.000 0.000 1
Cl1 Cl 0.250 0.750 0.500 1



Entry 3:
# Al2FeCl PBE optimized geometry
# Energy above the most stable polymorph in this dataset (meV per atom): 282
# Density of states at the Fermi level (states/eV/atom): 0.617
# Size of the total moment (μB/cell): 2.0
# Formation energy from raw total energies (eV/f.u.): 0.21
data_Al2FeCl
_chemical_formula_sum 'Al2 Fe1 Cl1'
_cell_length_a 4.798
_cell_length_b 4.798
_cell_length_c 2.770
_cell_angle_alpha 90.00
_cell_angle_beta 90.00
_cell_angle_gamma 94.37
_symmetry_space_group_name_H-M 'P 1'
_symmetry_Int_Tables_number 1
_symmetry_space_group_name_Hall 'P 1'
loop_
_atom_site_label
_atom_site_type_symbol
_atom_site_fract_x
_atom_site_fract_y
_atom_site_fract_z
_atom_site_occupancy
Cl1 Cl 0.500 0.000 0.500 1
Fe1 Fe 0.000 0.500 0.500 1
Al1 Al 0.500 0.500 0.000 1
Al2 Al 0.000 0.000 0.000 1



Entry 4:
# Al2FeCl PBE optimized geometry
# Energy above the most stable polymorph in this dataset (meV per atom): 434
# Density of states at the Fermi level (states/eV/atom): 0.677
# Size of the total moment (μB/cell): 2.5
# Formation energy from raw total energies (eV/f.u.): 0.82
data_Al2FeCl
_chemical_formula_sum 'Al2 Fe1 Cl1'
_cell_length_a 5.248
_cell_length_b 5.248
_cell_length_c 5.248
_cell_angle_alpha 146.60
_cell_angle_beta 123.07
_cell_angle_gamma 67.63
_symmetry_space_group_name_H-M 'P 1'
_symmetry_Int_Tables_number 1
_symmetry_space_group_name_Hall 'P 1'
loop_
_atom_site_label
_atom_site_type_symbol
_atom_site_fract_x
_atom_site_fract_y
_atom_site_fract_z
_atom_site_occupancy
Cl1 Cl 0.750 0.250 0.500 1
Al1 Al 0.486 0.486 0.000 1
Al2 Al 0.014 0.014 0.000 1
Fe1 Fe 0.250 0.750 0.500 1



Entry 5:
# AlFe2Cl PBE optimized geometry
# Energy above the most stable polymorph in this dataset (meV per atom): 33
# Density of states at the Fermi level (states/eV/atom): 0.491
# Size of the total moment (μB/cell): 5.4
# Formation energy from raw total energies (eV/f.u.): 0.14
data_AlFe2Cl
_chemical_formula_sum 'Al1 Fe2 Cl1'
_cell_length_a 7.707
_cell_length_b 7.707
_cell_length_c 7.707
_cell_angle_alpha 22.72
_cell_angle_beta 22.72
_cell_angle_gamma 22.72
_symmetry_space_group_name_H-M 'P 1'
_symmetry_Int_Tables_number 1
_symmetry_space_group_name_Hall 'P 1'
loop_
_atom_site_label
_atom_site_type_symbol
_atom_site_fract_x
_atom_site_fract_y
_atom_site_fract_z
_atom_site_occupancy
Al1 Al 0.507 0.507 0.507 1
Cl1 Cl 0.746 0.746 0.746 1
Fe1 Fe 0.253 0.253 0.253 1
Fe2 Fe 0.994 0.994 0.994 1



Entry 6:
# AlFe2Cl PBE optimized geometry
# Energy above the most stable polymorph in this dataset (meV per atom): 9
# Density of states at the Fermi level (states/eV/atom): 0.705
# Size of the total moment (μB/cell): 4.9
# Formation energy from raw total energies (eV/f.u.): 0.05
data_AlFe2Cl
_chemical_formula_sum 'Al1 Fe2 Cl1'
_cell_length_a 3.019
_cell_length_b 3.019
_cell_length_c 7.180
_cell_angle_alpha 90.00
_cell_angle_beta 90.00
_cell_angle_gamma 90.00
_symmetry_space_group_name_H-M 'P 1'
_symmetry_Int_Tables_number 1
_symmetry_space_group_name_Hall 'P 1'
loop_
_atom_site_label
_atom_site_type_symbol
_atom_site_fract_x
_atom_site_fract_y
_atom_site_fract_z
_atom_site_occupancy
Cl1 Cl 0.500 0.500 0.835 1
Al1 Al 0.000 0.000 0.401 1
Fe1 Fe 0.000 0.000 0.036 1
Fe2 Fe 0.500 0.500 0.228 1



Entry 7:
# AlFeCl3 PBE optimized geometry
# Energy above the most stable polymorph in this dataset (meV per atom): 313
# Density of states at the Fermi level (states/eV/atom): 3.002
# Size of the total moment (μB/cell): 4.3
# Formation energy from raw total energies (eV/f.u.): -0.59
data_AlFeCl3
_chemical_formula_sum 'Al1 Fe1 Cl3'
_cell_length_a 4.861
_cell_length_b 4.861
_cell_length_c 4.861
_cell_angle_alpha 90.00
_cell_angle_beta 90.00
_cell_angle_gamma 90.00
_symmetry_space_group_name_H-M 'P 1'
_symmetry_Int_Tables_number 1
_symmetry_space_group_name_Hall 'P 1'
loop_
_atom_site_label
_atom_site_type_symbol
_atom_site_fract_x
_atom_site_fract_y
_atom_site_fract_z
_atom_site_occupancy
Fe1 Fe 0.500 0.500 0.500 1
Cl1 Cl 0.000 0.500 0.000 1
Cl2 Cl 0.000 0.000 0.500 1
Cl3 Cl 0.500 0.000 0.000 1
Al1 Al 0.000 0.000 0.000 1



Entry 8:
# AlFe2Cl PBE optimized geometry
# Energy above the most stable polymorph in this dataset (meV per atom): 197
# Density of states at the Fermi level (states/eV/atom): 0.771
# Size of the total moment (μB/cell): 5.4
# Formation energy from raw total energies (eV/f.u.): 0.80
data_AlFe2Cl
_chemical_formula_sum 'Al1 Fe2 Cl1'
_cell_length_a 2.932
_cell_length_b 2.932
_cell_length_c 8.111
_cell_angle_alpha 90.00
_cell_angle_beta 90.00
_cell_angle_gamma 121.81
_symmetry_space_group_name_H-M 'P 1'
_symmetry_Int_Tables_number 1
_symmetry_space_group_name_Hall 'P 1'
loop_
_atom_site_label
_atom_site_type_symbol
_atom_site_fract_x
_atom_site_fract_y
_atom_site_fract_z
_atom_site_occupancy
Fe1 Fe 0.000 0.000 0.506 1
Fe2 Fe 0.000 0.000 0.994 1
Al1 Al 0.500 0.500 0.250 1
Cl1 Cl 0.500 0.500 0.750 1